The following is a PBE calculation of a relaxed BePbW crystal, from Alexandria.

Calculated values
D(E_F) = 1.967 states/eV/f.u.
total moment = 0.00 μB per formula unit
calculated total energy = -18.207 eV/cell
V = 17.5 Å³ per atom
distance to the lowest polymorph of the same formula = 0.0 meV per atom
energy of formation from the pure elements = 0.727 eV per atom
symmetry = I4mm (107)

Unit cell a=5.448 b=5.448 c=5.448 alpha=145.15 beta=145.15 gamma=50.11
Element x y z (fractional)
Pb1 0.326 0.326 0.000
Be1 0.052 0.052 0.000
W1 0.621 0.621 0.000